Cu2MoBrO: optimized geometry, PBE with a Hubbard U.

The space group is P4/mmm (No. 123) and the conventional cell measures 3.8652, 3.8652 and 6.5704 Å, with angles of 90.00, 90.00 and 90.00 degrees. The asymmetric unit holds Cu at (0.0000, 0.5000, 0.0000), Mo at (0.0000, 0.0000, 0.5000), Br at (0.5000, 0.5000, 0.5000) and O at (0.5000, 0.5000, 0.0000).

Its uncorrected energy is -4.26 eV/atom. The total magnetization is 4.78 μB per cell. The density of states at the Fermi level is 0.158 states/eV per atom.